i | VASP calculation (GGA-PBE) on a geometry-optimized YTcP2 structure.

POSCAR file:
```
YTcP2
1.0
3.2593 0.0000 0.0000
0.0000 3.2593 0.0000
0.0000 0.0000 6.3249
Y Tc P
1 1 2
direct
0.0000 0.0000 0.0000
0.5000 0.5000 0.6392
0.0000 0.0000 0.4951
0.5000 0.5000 0.2584
```

Results
Theoretical density in kg/m3: 6150

ii | VASP calculation (GGA-PBE) on a geometry-optimized YTcP2 structure.

POSCAR file:
```
YTcP2
1.0
3.7798 0.0000 0.0000
0.0000 3.7719 0.0000
-0.0152 0.0000 5.3040
Y Tc P
1 1 2
direct
0.0000 0.0000 0.0000
0.5000 0.5000 0.5000
0.0000 0.0000 0.5000
0.5000 0.5000 0.0000
```

Results
Theoretical density in kg/m3: 5465

iii | VASP calculation (GGA-PBE) on a geometry-optimized YTcP2 structure.

POSCAR file:
```
YTcP2
1.0
0.0000 3.2231 3.2231
3.2231 0.0000 3.2231
3.2231 3.2231 0.0000
Y Tc P
1 1 2
direct
0.0000 0.0000 0.0000
0.7500 0.7500 0.7500
0.2500 0.2500 0.2500
0.5000 0.5000 0.5000
```

Results
Theoretical density in kg/m3: 6171

How do the energies compare? Relative to the most stable structure, in meV per atom: i 0; ii 21; iii 554.

i | VASP calculation (GGA-PBE) on a geometry-optimized YTc3P structure.

POSCAR file:
```
YTc3P
1.0
4.8279 0.0000 0.0000
0.0000 4.8279 0.0000
0.0000 0.0000 4.8279
Y Tc P
1 3 1
direct
0.0000 0.0000 0.0000
0.0000 0.0000 0.5000
0.0000 0.5000 0.0000
0.5000 0.0000 0.0000
0.5000 0.5000 0.5000
```

Results
Theoretical density in kg/m3: 6107

ii | VASP calculation (GGA-PBE) on a geometry-optimized YTc3P structure.

POSCAR file:
```
YTc3P
1.0
4.4807 0.0000 0.0000
0.0000 4.4807 0.0000
0.0000 0.0000 4.4807
Y Tc P
1 3 1
direct
0.0000 0.0000 0.0000
0.0000 0.5000 0.5000
0.5000 0.0000 0.5000
0.5000 0.5000 0.0000
0.5000 0.5000 0.5000
```

Results
Theoretical density in kg/m3: 7640

How do the energies compare? Relative to the most stable structure, in meV per atom: i 2647; ii 0.

i | VASP calculation (GGA-PBE) on a geometry-optimized Zn2TcP2 structure.

POSCAR file:
```
Zn2TcP2
1.0
-1.5805 1.5805 8.2629
1.5805 -1.5805 8.2629
1.5805 1.5805 -8.2629
Zn Tc P
2 1 2
direct
0.0930 0.0930 0.0000
0.9070 0.9070 0.0000
0.5000 0.5000 0.0000
0.2500 0.7500 0.5000
0.7500 0.2500 0.5000
```

Results
Theoretical density in kg/m3: 5848

ii | VASP calculation (GGA-PBE) on a geometry-optimized Zn2TcP2 structure.

POSCAR file:
```
Zn2TcP2
1.0
6.0516 0.0000 0.0000
0.0000 6.0516 0.0000
0.0000 0.0000 4.0603
Zn Tc P
4 2 4
direct
0.1930 0.3070 0.0000
0.3070 0.8070 0.0000
0.6930 0.1930 0.0000
0.8070 0.6930 0.0000
0.0000 0.0000 0.5000
0.5000 0.5000 0.5000
0.1291 0.6291 0.5000
0.3709 0.1291 0.5000
0.6291 0.8709 0.5000
0.8709 0.3709 0.5000
```

Results
Theoretical density in kg/m3: 6494

How do the energies compare? Relative to the most stable structure, in meV per atom: i 521; ii 0.

i | VASP calculation (GGA-PBE) on a geometry-optimized ZnTcP structure.

POSCAR file:
```
ZnTcP
1.0
3.9472 0.0000 0.0000
-1.9736 3.4183 0.0000
0.0000 0.0000 3.3106
Zn Tc P
1 1 1
direct
0.0000 0.0000 0.0000
0.3333 0.6667 0.5000
0.6667 0.3333 0.5000
```

Results
Theoretical density in kg/m3: 7226

ii | VASP calculation (GGA-PBE) on a geometry-optimized ZnTcP structure.

POSCAR file:
```
ZnTcP
1.0
0.0000 2.8821 2.8821
2.8821 0.0000 2.8821
2.8821 2.8821 0.0000
Zn Tc P
1 1 1
direct
0.0000 0.0000 0.0000
0.7500 0.7500 0.7500
0.2500 0.2500 0.2500
```

Results
Theoretical density in kg/m3: 6741

iii | VASP calculation (GGA-PBE) on a geometry-optimized ZnTcP structure.

POSCAR file:
```
ZnTcP
1.0
0.0000 2.3876 6.3298
1.5612 0.0000 6.3298
1.5612 2.3876 0.0000
Zn Tc P
1 1 1
direct
0.0000 0.0000 0.0000
0.6702 0.6702 0.3298
0.3020 0.3020 0.6980
```

Results
Theoretical density in kg/m3: 6841

How do the energies compare? Relative to the most stable structure, in meV per atom: i 0; ii 932; iii 275.

i | VASP calculation (GGA-PBE) on a geometry-optimized ZnTcP structure.

POSCAR file:
```
ZnTcP
1.0
4.4762 0.0000 0.0000
0.0000 3.8956 0.0000
-2.0732 0.0000 5.1580
Zn Tc P
2 2 2
direct
0.1441 0.2500 0.4175
0.8559 0.7500 0.5825
0.2163 0.2500 0.9393
0.7837 0.7500 0.0607
0.3543 0.7500 0.2072
0.6457 0.2500 0.7928
```

Results
Theoretical density in kg/m3: 7178

ii | VASP calculation (GGA-PBE) on a geometry-optimized ZnTcP structure.

POSCAR file:
```
ZnTcP
1.0
0.0000 2.8128 2.8128
2.8128 0.0000 2.8128
2.8128 2.8128 0.0000
Zn Tc P
1 1 1
direct
0.0000 0.0000 0.0000
0.5000 0.5000 0.5000
0.2500 0.2500 0.2500
```

Results
Theoretical density in kg/m3: 7252

How do the energies compare? Relative to the most stable structure, in meV per atom: i 0; ii 262.

i | VASP calculation (GGA-PBE) on a geometry-optimized ZnTcP structure.

POSCAR file:
```
ZnTcP
1.0
0.0000 2.8756 2.8756
2.8756 0.0000 2.8756
2.8756 2.8756 0.0000
Zn Tc P
1 1 1
direct
0.0000 0.0000 0.0000
0.7500 0.7500 0.7500
0.5000 0.5000 0.5000
```

Results
Theoretical density in kg/m3: 6787

ii | VASP calculation (GGA-PBE) on a geometry-optimized ZnTcP structure.

POSCAR file:
```
ZnTcP
1.0
-1.5431 1.5431 4.3478
1.5431 -1.5431 4.3478
1.5431 1.5431 -4.3478
Zn Tc P
1 1 1
direct
0.0000 0.0000 0.0000
0.3071 0.3071 0.0000
0.6844 0.6844 0.0000
```

Results
Theoretical density in kg/m3: 7794

How do the energies compare? Relative to the most stable structure, in meV per atom: i 447; ii 0.

i | VASP calculation (GGA-PBE) on a geometry-optimized Zn3TcP structure.

POSCAR file:
```
Zn3TcP
1.0
4.8156 0.0000 0.0000
0.0000 4.8156 0.0000
0.0000 0.0000 4.8156
Zn Tc P
3 1 1
direct
0.0000 0.0000 0.5000
0.0000 0.5000 0.0000
0.5000 0.0000 0.0000
0.0000 0.0000 0.0000
0.5000 0.5000 0.5000
```

Results
Theoretical density in kg/m3: 4836

ii | VASP calculation (GGA-PBE) on a geometry-optimized Zn3TcP structure.

POSCAR file:
```
Zn3TcP
1.0
4.5346 0.0000 0.0000
0.0000 4.5346 0.0000
0.0000 0.0000 4.5346
Zn Tc P
3 1 1
direct
0.0000 0.0000 0.5000
0.0000 0.5000 0.0000
0.5000 0.0000 0.0000
0.5000 0.5000 0.5000
0.0000 0.0000 0.0000
```

Results
Theoretical density in kg/m3: 5791

How do the energies compare? Relative to the most stable structure, in meV per atom: i 203; ii 0.

i | VASP calculation (GGA-PBE) on a geometry-optimized ZrTcP2 structure.

POSCAR file:
```
ZrTcP2
1.0
-2.5764 2.5764 6.3251
2.5764 -2.5764 6.3251
2.5764 2.5764 -6.3251
Zr Tc P
2 2 4
direct
0.0000 0.0000 0.0000
0.7500 0.2500 0.5000
0.2500 0.7500 0.5000
0.5000 0.5000 0.0000
0.1791 0.6250 0.0541
0.3750 0.4291 0.5541
0.5709 0.1250 0.9459
0.8750 0.8209 0.4459
```

Results
Theoretical density in kg/m3: 4967

ii | VASP calculation (GGA-PBE) on a geometry-optimized ZrTcP2 structure.

POSCAR file:
```
ZrTcP2
1.0
3.2816 0.0000 0.0000
0.0000 3.2816 0.0000
0.0000 0.0000 5.7533
Zr Tc P
1 1 2
direct
0.0000 0.0000 0.0000
0.5000 0.5000 0.6416
0.0000 0.0000 0.4781
0.5000 0.5000 0.2015
```

Results
Theoretical density in kg/m3: 6732

How do the energies compare? Relative to the most stable structure, in meV per atom: i 334; ii 0.

i | VASP calculation (GGA-PBE) on a geometry-optimized ZrTcP2 structure.

POSCAR file:
```
ZrTcP2
1.0
3.3696 0.0000 0.0000
0.0000 3.8829 0.0000
-0.0256 0.0000 4.9799
Zr Tc P
1 1 2
direct
0.0000 0.0000 0.0000
0.5000 0.0000 0.5000
0.4952 0.5000 0.7697
0.5048 0.5000 0.2303
```

Results
Theoretical density in kg/m3: 6401

ii | VASP calculation (GGA-PBE) on a geometry-optimized ZrTcP2 structure.

POSCAR file:
```
ZrTcP2
1.0
4.3967 0.0000 0.0000
0.0000 4.3967 0.0000
0.0000 0.0000 3.1168
Zr Tc P
1 1 2
direct
0.0000 0.0000 0.0000
0.5000 0.5000 0.0000
0.0000 0.5000 0.5000
0.5000 0.0000 0.5000
```

Results
Theoretical density in kg/m3: 6923

iii | VASP calculation (GGA-PBE) on a geometry-optimized ZrTcP2 structure.

POSCAR file:
```
ZrTcP2
1.0
-1.6480 1.6796 5.8148
1.6480 -1.6796 5.8148
1.6480 1.6796 -5.8148
Zr Tc P
1 1 2
direct
0.0000 0.0000 0.0000
0.7488 0.2488 0.5000
0.3250 0.8250 0.5000
0.5917 0.5917 0.0000
```

Results
Theoretical density in kg/m3: 6478

How do the energies compare? Relative to the most stable structure, in meV per atom: i 244; ii 278; iii 0.

i | VASP calculation (GGA-PBE) on a geometry-optimized ZrTcP2 structure.

POSCAR file:
```
ZrTcP2
1.0
-1.9990 2.4140 3.2118
1.9990 -2.4140 3.2118
1.9990 2.4140 -3.2118
Zr Tc P
1 1 2
direct
0.0000 0.0000 0.0000
0.5000 0.5000 0.0000
0.2798 0.7798 0.5000
0.7202 0.2202 0.5000
```

Results
Theoretical density in kg/m3: 6728

ii | VASP calculation (GGA-PBE) on a geometry-optimized ZrTcP2 structure.

POSCAR file:
```
ZrTcP2
1.0
3.2643 0.0000 0.0000
0.0000 4.2919 0.0000
-1.6287 0.0000 4.4272
Zr Tc P
1 1 2
direct
0.0000 0.0000 0.0000
0.2587 0.5000 0.5136
0.5420 0.5000 0.0805
0.7206 0.0000 0.4464
```

Results
Theoretical density in kg/m3: 6725

How do the energies compare? Relative to the most stable structure, in meV per atom: i 73; ii 0.

i | VASP calculation (GGA-PBE) on a geometry-optimized ZrTcP2 structure.

POSCAR file:
```
ZrTcP2
1.0
4.4536 -1.5760 0.0000
4.4536 1.5760 0.0000
-1.0658 0.0000 4.4758
Zr Tc P
1 1 2
direct
0.0000 0.0000 0.0000
0.7712 0.7712 0.4144
0.2585 0.2585 0.8214
0.4904 0.4904 0.5004
```

Results
Theoretical density in kg/m3: 6638

ii | VASP calculation (GGA-PBE) on a geometry-optimized ZrTcP2 structure.

POSCAR file:
```
ZrTcP2
1.0
2.0595 -2.2317 0.0000
2.0595 2.2317 0.0000
0.0000 0.0000 6.5015
Zr Tc P
1 1 2
direct
0.0000 0.0000 0.0000
0.0000 0.0000 0.5000
0.5000 0.5000 0.2809
0.5000 0.5000 0.7191
```

Results
Theoretical density in kg/m3: 6979

iii | VASP calculation (GGA-PBE) on a geometry-optimized ZrTcP2 structure.

POSCAR file:
```
ZrTcP2
1.0
3.2822 -1.8910 0.0000
3.2822 1.8910 0.0000
-2.1815 0.0000 5.2146
Zr Tc P
1 1 2
direct
0.0000 0.0000 0.0000
0.5000 0.5000 0.5000
0.2361 0.2361 0.7077
0.7639 0.7639 0.2923
```

Results
Theoretical density in kg/m3: 6443

How do the energies compare? Relative to the most stable structure, in meV per atom: i 42; ii 129; iii 0.

i | VASP calculation (GGA-PBE) on a geometry-optimized ZrTcP2 structure.

POSCAR file:
```
ZrTcP2
1.0
1.5494 0.8946 7.6797
-1.5494 0.8946 7.6797
0.0000 -1.7891 7.6797
Zr Tc P
1 1 2
direct
0.0000 0.0000 0.0000
0.5000 0.5000 0.5000
0.2399 0.2399 0.2399
0.7601 0.7601 0.7601
```

Results
Theoretical density in kg/m3: 6531

ii | VASP calculation (GGA-PBE) on a geometry-optimized ZrTcP2 structure.

POSCAR file:
```
ZrTcP2
1.0
0.0000 3.1099 3.1099
3.1099 0.0000 3.1099
3.1099 3.1099 0.0000
Zr Tc P
1 1 2
direct
0.0000 0.0000 0.0000
0.5000 0.5000 0.5000
0.2500 0.2500 0.2500
0.7500 0.7500 0.7500
```

Results
Theoretical density in kg/m3: 6933

How do the energies compare? Relative to the most stable structure, in meV per atom: i 220; ii 0.